[1]
An optimized crystal structure of Sm2AlCu12Ni3. Source: Alexandria via LeMat-Bulk, functional PBE.

Unit cell a=8.4717 b=8.4717 c=12.3834 alpha=90.00 beta=90.00 gamma=120.00
Space group R-3m (No. 166, hexagonal axes)
One atom of each set of equivalent atoms:
Sm 0.0000 0.0000 0.2449 (multiplicity 6)
Al 0.0000 0.0000 0.5000 (multiplicity 3)
Cu 0.0185 0.5093 0.2084 (multiplicity 18)
Cu 0.0529 0.5265 0.6011 (multiplicity 18)
Ni 0.0000 0.5000 0.0000 (multiplicity 9)

For the final energy, the calculation gives -4.416 eV per atom. As for the size of the total moment: 0.0 μB/f.u.

***

[2]
An optimized crystal structure of NaCuH3. Source: Alexandria via LeMat-Bulk, functional PBE.

Unit cell a=4.9942 b=5.1340 c=5.4600 alpha=92.67 beta=114.41 gamma=116.71
Space group P1 (No. 1)
One atom of each set of equivalent atoms:
Na 0.0000 0.0000 0.0000 (multiplicity 1)
Na 0.0835 0.5994 0.5543 (multiplicity 1)
Cu 0.4561 0.6931 0.1737 (multiplicity 1)
Cu 0.6345 0.3327 0.9664 (multiplicity 1)
H 0.0509 0.5758 0.1134 (multiplicity 1)
H 0.3544 0.4373 0.9041 (multiplicity 1)
H 0.5077 0.3013 0.5951 (multiplicity 1)
H 0.5272 0.0016 0.0353 (multiplicity 1)
H 0.5438 0.1644 0.6106 (multiplicity 1)
H 0.7092 0.7875 0.5011 (multiplicity 1)

As for the size of the total moment: 0.0 μB/f.u. The energy above the most stable polymorph in this dataset is 34 meV/atom.

***

[3]
An optimized crystal structure of Pr6Tl2Te3Pb. Source: Alexandria via LeMat-Bulk, functional PBE.

Unit cell a=20.6746 b=4.5799 c=9.1102 alpha=90.00 beta=112.46 gamma=90.00
Space group C2/m (No. 12)
One atom of each set of equivalent atoms:
Pr 0.0073 0.0000 0.2518 (multiplicity 4)
Pr 0.1604 0.5000 0.6398 (multiplicity 4)
Pr 0.1686 0.5000 0.1342 (multiplicity 4)
Tl 0.1898 0.0000 0.4127 (multiplicity 4)
Te 0.0000 0.5000 0.5000 (multiplicity 2)
Te 0.1643 0.0000 0.8829 (multiplicity 4)
Pb 0.0000 0.5000 0.0000 (multiplicity 2)

For the final energy, the calculation gives -4.821 eV per atom. As for the size of the total moment: 0.0 μB/f.u.

***

[4]
An optimized crystal structure of NaTl5In2. Source: Alexandria via LeMat-Bulk, functional PBE.

Unit cell a=8.6202 b=8.6202 c=12.8581 alpha=90.00 beta=90.00 gamma=90.00
Space group I4/mcm (No. 140)
One atom of each set of equivalent atoms:
Na 0.0000 0.0000 0.2500 (multiplicity 4)
Tl 0.0000 0.0000 0.0000 (multiplicity 4)
Tl 0.1523 0.3477 0.1589 (multiplicity 16)
In 0.1431 0.3569 0.5000 (multiplicity 8)

As for the size of the total moment: 0.0 μB/f.u. The energy above the most stable polymorph in this dataset is 20 meV/atom.

***

[5]
An optimized crystal structure of YSb2TeN. Source: Alexandria via LeMat-Bulk, functional PBE.

Unit cell a=5.8681 b=5.8681 c=5.8127 alpha=90.00 beta=90.00 gamma=90.00
Space group P4/mmm (No. 123)
One atom of each set of equivalent atoms:
Y 0.0000 0.0000 0.0000 (multiplicity 1)
Sb 0.0000 0.5000 0.0000 (multiplicity 2)
Te 0.0000 0.0000 0.5000 (multiplicity 1)
N 0.5000 0.5000 0.5000 (multiplicity 1)

As for the size of the total moment: 2.4 μB/f.u. The energy above the most stable polymorph in this dataset is 1120 meV/atom.

***

[6]
An optimized crystal structure of SmEr2Ga. Source: Alexandria via LeMat-Bulk, functional PBE.

Unit cell a=3.5108 b=3.5108 c=8.8791 alpha=90.00 beta=90.00 gamma=90.00
Space group P4/mmm (No. 123)
One atom of each set of equivalent atoms:
Sm 0.0000 0.0000 0.0000 (multiplicity 1)
Er 0.5000 0.5000 0.2934 (multiplicity 2)
Ga 0.0000 0.0000 0.5000 (multiplicity 1)

As for the size of the total moment: 0.0 μB/f.u. The energy above the most stable polymorph in this dataset is 0 meV/atom.

***

[7]
An optimized crystal structure of Sc2Cu2Sn. Source: Alexandria via LeMat-Bulk, functional PBE.

Unit cell a=4.4129 b=4.4129 c=10.3515 alpha=90.00 beta=90.00 gamma=90.00
Space group I4/mmm (No. 139)
One atom of each set of equivalent atoms:
Sc 0.0000 0.5000 0.2500 (multiplicity 4)
Cu 0.0000 0.0000 0.1094 (multiplicity 4)
Sn 0.0000 0.0000 0.5000 (multiplicity 2)

For the final energy, the calculation gives -5.057 eV per atom. As for the size of the total moment: 0.0 μB/f.u.

***

[8]
An optimized crystal structure of Pm7Zn2Sn2. Source: Alexandria via LeMat-Bulk, functional PBE.

Unit cell a=8.1291 b=11.4549 c=7.3472 alpha=90.00 beta=90.00 gamma=90.00
Space group Cmmm (No. 65)
One atom of each set of equivalent atoms:
Pm 0.0000 0.0000 0.0000 (multiplicity 2)
Pm 0.0000 0.5000 0.2398 (multiplicity 4)
Pm 0.2500 0.2500 0.2786 (multiplicity 8)
Zn 0.0000 0.2839 0.0000 (multiplicity 4)
Sn 0.1782 0.0000 0.5000 (multiplicity 4)

For the final energy, the calculation gives -4.130 eV per atom. As for the size of the total moment: 0.0 μB/f.u.

***

[9]
An optimized crystal structure of Ce2NdAu. Source: Alexandria via LeMat-Bulk, functional PBE.

Unit cell a=7.5088 b=7.5088 c=7.5088 alpha=90.00 beta=90.00 gamma=90.00
Space group Fm-3m (No. 225)
One atom of each set of equivalent atoms:
Ce 0.2500 0.2500 0.2500 (multiplicity 8)
Nd 0.0000 0.0000 0.0000 (multiplicity 4)
Au 0.0000 0.0000 0.5000 (multiplicity 4)

As for the size of the total moment: 2.5 μB/f.u. The energy above the most stable polymorph in this dataset is 135 meV/atom.

***

[10]
An optimized crystal structure of GaMo2C. Source: Alexandria via LeMat-Bulk, functional PBE.

Unit cell a=10.4033 b=3.0437 c=7.1700 alpha=90.00 beta=101.67 gamma=90.00
Space group Cm (No. 8)
One atom of each set of equivalent atoms:
Ga 0.0000 0.0000 0.0000 (multiplicity 2)
Ga 0.0810 0.5000 0.6474 (multiplicity 2)
Mo 0.1709 0.0000 0.3503 (multiplicity 2)
Mo 0.2307 0.5000 0.0111 (multiplicity 2)
Mo 0.3342 0.0000 0.7188 (multiplicity 2)
Mo 0.4099 0.5000 0.3626 (multiplicity 2)
C 0.2606 0.5000 0.5261 (multiplicity 2)
C 0.3256 0.0000 0.1832 (multiplicity 2)

As for the size of the total moment: 0.0 μB/f.u. The energy above the most stable polymorph in this dataset is 188 meV/atom.

***

[11]
An optimized crystal structure of K2IrI5. Source: Alexandria via LeMat-Bulk, functional PBE.

Unit cell a=8.4032 b=8.4032 c=9.7745 alpha=90.00 beta=90.00 gamma=90.00
Space group I4mm (No. 107)
One atom of each set of equivalent atoms:
K 0.0000 0.5000 0.0000 (multiplicity 4)
Ir 0.0000 0.0000 0.2335 (multiplicity 2)
I 0.0000 0.0000 0.9705 (multiplicity 2)
I 0.2240 0.2240 0.2547 (multiplicity 8)

For the final energy, the calculation gives -3.020 eV per atom. As for the size of the total moment: 0.0 μB/f.u.

***

[12]
An optimized crystal structure of SrBi2PtO6. Source: Alexandria via LeMat-Bulk, functional PBE.

Unit cell a=5.9364 b=5.9444 c=6.1487 alpha=90.03 beta=118.85 gamma=119.95
Space group P1 (No. 1)
One atom of each set of equivalent atoms:
Sr 0.0000 0.0000 0.0000 (multiplicity 1)
Bi 0.4329 0.2166 0.6491 (multiplicity 1)
Bi 0.4538 0.7267 0.1814 (multiplicity 1)
Pt 0.0411 0.5203 0.5610 (multiplicity 1)
O 0.1789 0.7796 0.3510 (multiplicity 1)
O 0.1999 0.8597 0.8159 (multiplicity 1)
O 0.4767 0.6158 0.8149 (multiplicity 1)
O 0.5713 0.3983 0.3518 (multiplicity 1)
O 0.9531 0.1726 0.3517 (multiplicity 1)
O 0.9566 0.3400 0.8162 (multiplicity 1)

For the final energy, the calculation gives -5.828 eV per atom. As for the size of the total moment: 0.0 μB/f.u.

***

[13]
An optimized crystal structure of SmTm2TcO8. Source: Alexandria via LeMat-Bulk, functional PBE.

Unit cell a=7.0925 b=7.1007 c=6.7500 alpha=90.00 beta=90.00 gamma=90.00
Space group Cmmm (No. 65)
One atom of each set of equivalent atoms:
Sm 0.0000 0.0000 0.0000 (multiplicity 2)
Tm 0.0000 0.5000 0.2486 (multiplicity 4)
Tc 0.0000 0.0000 0.5000 (multiplicity 2)
O 0.0000 0.2698 0.5000 (multiplicity 4)
O 0.0000 0.3145 0.0000 (multiplicity 4)
O 0.1858 0.0000 0.2957 (multiplicity 8)

For the final energy, the calculation gives -7.952 eV per atom. As for the size of the total moment: 0.0 μB/f.u.

***

[14]
An optimized crystal structure of Sb2TeRuF. Source: Alexandria via LeMat-Bulk, functional PBE.

Unit cell a=4.6581 b=4.6581 c=5.0551 alpha=90.00 beta=90.00 gamma=90.00
Space group P4/mmm (No. 123)
One atom of each set of equivalent atoms:
Sb 0.0000 0.5000 0.0000 (multiplicity 2)
Te 0.0000 0.0000 0.5000 (multiplicity 1)
Ru 0.5000 0.5000 0.5000 (multiplicity 1)
F 0.0000 0.0000 0.0000 (multiplicity 1)

As for the size of the total moment: 0.0 μB/f.u. The energy above the most stable polymorph in this dataset is 260 meV/atom.

***

[15]
An optimized crystal structure of Cd3PPt. Source: Alexandria via LeMat-Bulk, functional PBE.

Unit cell a=5.1423 b=5.1423 c=5.1423 alpha=90.00 beta=90.00 gamma=90.00
Space group Pm-3m (No. 221)
One atom of each set of equivalent atoms:
Cd 0.0000 0.0000 0.5000 (multiplicity 3)
P 0.5000 0.5000 0.5000 (multiplicity 1)
Pt 0.0000 0.0000 0.0000 (multiplicity 1)

As for the size of the total moment: 0.0 μB/f.u. The energy above the most stable polymorph in this dataset is 0 meV/atom.

***

[16]
An optimized crystal structure of MgCrTeN2. Source: Alexandria via LeMat-Bulk, functional PBE.

Unit cell a=3.9331 b=3.9331 c=5.7681 alpha=90.00 beta=90.00 gamma=90.00
Space group P4/mmm (No. 123)
One atom of each set of equivalent atoms:
Mg 0.0000 0.0000 0.0000 (multiplicity 1)
Cr 0.5000 0.5000 0.5000 (multiplicity 1)
Te 0.0000 0.0000 0.5000 (multiplicity 1)
N 0.0000 0.5000 0.0000 (multiplicity 2)

As for the size of the total moment: 2.5 μB/f.u. The energy above the most stable polymorph in this dataset is 1377 meV/atom.

***

[17]
An optimized crystal structure of Y2CuNiB. Source: Alexandria via LeMat-Bulk, functional PBE.

Unit cell a=5.0516 b=5.0516 c=3.7387 alpha=90.00 beta=90.00 gamma=90.00
Space group P4/mmm (No. 123)
One atom of each set of equivalent atoms:
Y 0.0000 0.5000 0.0000 (multiplicity 2)
Cu 0.0000 0.0000 0.5000 (multiplicity 1)
Ni 0.5000 0.5000 0.5000 (multiplicity 1)
B 0.5000 0.5000 0.0000 (multiplicity 1)

For the final energy, the calculation gives -6.113 eV per atom. As for the size of the total moment: 0.0 μB/f.u.

***

[18]
An optimized crystal structure of Li2H6O3. Source: Alexandria via LeMat-Bulk, functional PBE.

Unit cell a=14.7735 b=6.0307 c=5.9371 alpha=90.00 beta=100.05 gamma=90.00
Space group C2/c (No. 15)
One atom of each set of equivalent atoms:
Li 0.1198 0.1495 0.4318 (multiplicity 8)
H 0.0284 0.3635 0.1508 (multiplicity 8)
H 0.1504 0.2633 0.8388 (multiplicity 8)
H 0.2296 0.0997 0.7965 (multiplicity 8)
O 0.0000 0.2582 0.2500 (multiplicity 4)
O 0.1609 0.1150 0.7696 (multiplicity 8)

For the final energy, the calculation gives -4.365 eV per atom. As for the size of the total moment: 0.0 μB/f.u.

***

[19]
An optimized crystal structure of Li2CeYTe4. Source: Alexandria via LeMat-Bulk, functional PBE.

Unit cell a=7.5070 b=4.4128 c=7.6397 alpha=90.00 beta=109.75 gamma=90.00
Space group P2/m (No. 10)
One atom of each set of equivalent atoms:
Li 0.0000 0.0000 0.0000 (multiplicity 1)
Li 0.0000 0.5000 0.5000 (multiplicity 1)
Ce 0.5000 0.0000 0.5000 (multiplicity 1)
Y 0.5000 0.5000 0.0000 (multiplicity 1)
Te 0.2390 0.5000 0.2396 (multiplicity 2)
Te 0.2428 0.0000 0.7544 (multiplicity 2)

For the final energy, the calculation gives -4.862 eV per atom. As for the size of the total moment: 1.0 μB/f.u.

***

[20]
An optimized crystal structure of Tm2HSe. Source: Alexandria via LeMat-Bulk, functional PBE.

Unit cell a=3.7001 b=3.7001 c=19.4100 alpha=90.00 beta=90.00 gamma=120.00
Space group R-3m (No. 166, hexagonal axes)
One atom of each set of equivalent atoms:
Tm 0.0000 0.0000 0.2359 (multiplicity 6)
H 0.0000 0.0000 0.5000 (multiplicity 3)
Se 0.0000 0.0000 0.0000 (multiplicity 3)

As for the size of the total moment: 0.0 μB/f.u. The energy above the most stable polymorph in this dataset is 94 meV/atom.

***

[21]
An optimized crystal structure of KCa2YRu. Source: Alexandria via LeMat-Bulk, functional PBE.

Unit cell a=5.8063 b=5.8063 c=5.3467 alpha=90.00 beta=90.00 gamma=90.00
Space group P4/mmm (No. 123)
One atom of each set of equivalent atoms:
K 0.0000 0.0000 0.0000 (multiplicity 1)
Ca 0.0000 0.5000 0.5000 (multiplicity 2)
Y 0.5000 0.5000 0.0000 (multiplicity 1)
Ru 0.5000 0.5000 0.5000 (multiplicity 1)

For the final energy, the calculation gives -4.067 eV per atom. As for the size of the total moment: 0.0 μB/f.u.

***

[22]
An optimized crystal structure of KBr2. Source: Alexandria via LeMat-Bulk, functional PBE.

Unit cell a=11.7702 b=4.5103 c=9.6418 alpha=90.00 beta=99.42 gamma=90.00
Space group C2/m (No. 12)
One atom of each set of equivalent atoms:
K 0.0807 0.0000 0.3441 (multiplicity 4)
Br 0.0460 0.5000 0.8926 (multiplicity 4)
Br 0.1417 0.5000 0.6261 (multiplicity 4)

As for the size of the total moment: 0.0 μB/f.u. The energy above the most stable polymorph in this dataset is 27 meV/atom.

***

[23]
An optimized crystal structure of La3Ge3Os. Source: Alexandria via LeMat-Bulk, functional PBE.

Unit cell a=11.4439 b=4.3739 c=14.6321 alpha=90.00 beta=108.80 gamma=90.00
Space group C2/m (No. 12)
One atom of each set of equivalent atoms:
La 0.0282 0.0000 0.3856 (multiplicity 4)
La 0.1069 0.0000 0.9193 (multiplicity 4)
La 0.2437 0.0000 0.2346 (multiplicity 4)
Ge 0.0412 0.5000 0.2340 (multiplicity 4)
Ge 0.1038 0.5000 0.0717 (multiplicity 4)
Ge 0.1652 0.5000 0.5390 (multiplicity 4)
Os 0.2408 0.5000 0.3825 (multiplicity 4)

For the final energy, the calculation gives -6.361 eV per atom. As for the size of the total moment: 0.0 μB/f.u.

***

Number 1: density 8.2 g cm⁻³. Number 2: density 2.7 g cm⁻³. Number 3: density 7.7 g cm⁻³. Number 4: density 8.9 g cm⁻³. Number 5: density 3.9 g cm⁻³. Number 6: density 8.4 g cm⁻³. Number 7: density 5.5 g cm⁻³. Number 8: density 6.7 g cm⁻³. Number 9: density 9.7 g cm⁻³. Number 10: density 8.2 g cm⁻³. Number 11: density 4.4 g cm⁻³. Number 12: density 8.5 g cm⁻³. Number 13: density 7.0 g cm⁻³. Number 14: density 7.4 g cm⁻³. Number 15: density 6.9 g cm⁻³. Number 16: density 4.3 g cm⁻³. Number 17: density 5.4 g cm⁻³. Number 18: density 0.9 g cm⁻³. Number 19: density 5.3 g cm⁻³. Number 20: density 9.0 g cm⁻³. Number 21: density 2.8 g cm⁻³. Number 22: density 2.6 g cm⁻³. Number 23: density 7.9 g cm⁻³.